First-principles (PBE) data for a relaxed structure of BaErTe2AuSe, as listed in the Open Quantum Materials Database.

Computed properties:
As for the space group: Cmcm. The value obtained for the spin magnetization is 0.010 μB per cell.

a = 7.8540 Å, b = 7.8540 Å, c = 10.9021 Å
α = 90.00°, β = 90.00°, γ = 147.90°
Fractional positions:
Ba 0.2407 0.7593 0.7500
Ba 0.7593 0.2407 0.2500
Er 0.5000 0.5000 0.0000
Er 0.5000 0.5000 0.5000
Te 0.1416 0.8584 0.0484
Te 0.1416 0.8584 0.4516
Te 0.8584 0.1416 0.5484
Te 0.8584 0.1416 0.9516
Au 0.0313 0.9687 0.2500
Au 0.9687 0.0313 0.7500
Se 0.4261 0.5739 0.2500
Se 0.5739 0.4261 0.7500


First-principles (PBE) data for a relaxed structure of HoSb2Pt8, as listed in the Open Quantum Materials Database.

Computed properties:
As for the space group: C2/m. The value obtained for the spin magnetization is 0.004 μB per cell.

a = 6.8245 Å, b = 6.8245 Å, c = 9.7825 Å
α = 127.82°, β = 127.82°, γ = 35.87°
Fractional positions:
Ho 0.0000 0.0000 0.0000
Sb 0.1976 0.1976 0.7974
Sb 0.8024 0.8024 0.2026
Pt 0.0586 0.0586 0.3532
Pt 0.3209 0.3209 0.6668
Pt 0.3584 0.3584 0.4129
Pt 0.4052 0.4052 0.1296
Pt 0.5948 0.5948 0.8704
Pt 0.6416 0.6416 0.5871
Pt 0.6791 0.6791 0.3332
Pt 0.9414 0.9414 0.6468


| no. | total energy (eV/atom) |
| --- | --- |
| 1 | -4.553 |
| 2 | -6.008 |